First-principles (PBE-GGA) data for GdBNO after structural relaxation, as listed in OQMD via LeMat-Bulk.

Computed properties:
VASP energy in eV per atom: -7.58
E above lowest polymorph in meV per atom: 509
Symmetry: Pmc2_1, No. 26

Unit cell a=3.411 b=5.237 c=4.902 alpha=90.00 beta=90.00 gamma=90.00
Atoms (fractional coordinates):
1 Gd 0.000 0.235 0.000
2 Gd 0.000 0.765 0.500
3 B 0.500 0.347 0.499
4 B 0.500 0.653 0.999
5 N 0.500 0.498 0.750
6 N 0.500 0.502 0.250
7 O 0.000 0.194 0.499
8 O 0.000 0.806 0.999



First-principles (PBE-GGA) data for ScTc2W after structural relaxation, as listed in OQMD via LeMat-Bulk.

Computed properties:
VASP energy in eV per atom: -10.19
E above lowest polymorph in meV per atom: 41
Symmetry: Cmmm, No. 65

Unit cell a=4.483 b=4.483 c=3.148 alpha=90.00 beta=90.00 gamma=90.19
Atoms (fractional coordinates):
1 Sc 0.000 0.000 0.000
2 Tc 0.000 0.500 0.500
3 Tc 0.500 0.000 0.500
4 W 0.500 0.500 0.000



First-principles (PBE-GGA) data for ZnB4As after structural relaxation, as listed in OQMD via LeMat-Bulk.

Computed properties:
VASP energy in eV per atom: -4.91
E above lowest polymorph in meV per atom: 4
Symmetry: Immm, No. 71

Unit cell a=4.750 b=4.750 c=4.750 alpha=142.40 beta=111.98 gamma=80.41
Atoms (fractional coordinates):
1 Zn 0.000 0.000 0.000
2 B 0.076 0.743 0.332
3 B 0.411 0.743 0.668
4 B 0.589 0.257 0.332
5 B 0.924 0.257 0.668
6 As 0.500 0.500 0.000



First-principles (PBE-GGA) data for AgPbSF after structural relaxation, as listed in OQMD via LeMat-Bulk.

Computed properties:
VASP energy in eV per atom: -3.86
E above lowest polymorph in meV per atom: 285
Symmetry: P4/nmm, No. 129

Unit cell a=3.927 b=3.927 c=11.102 alpha=90.00 beta=90.00 gamma=90.00
Atoms (fractional coordinates):
1 Ag 0.250 0.250 0.119
2 Ag 0.750 0.750 0.881
3 Pb 0.250 0.250 0.643
4 Pb 0.750 0.750 0.357
5 S 0.250 0.250 0.884
6 S 0.750 0.750 0.116
7 F 0.250 0.750 0.500
8 F 0.750 0.250 0.500



First-principles (PBE-GGA) data for Sr2ZnH6Pd after structural relaxation, as listed in OQMD via LeMat-Bulk.

Computed properties:
VASP energy in eV per atom: -3.36
Symmetry: Fm-3m, No. 225

Unit cell a=5.438 b=5.438 c=5.438 alpha=60.00 beta=60.00 gamma=60.00
Atoms (fractional coordinates):
1 Sr 0.250 0.250 0.250
2 Sr 0.750 0.750 0.750
3 Zn 0.000 0.000 0.000
4 H 0.253 0.253 0.747
5 H 0.253 0.747 0.253
6 H 0.253 0.747 0.747
7 H 0.747 0.253 0.253
8 H 0.747 0.253 0.747
9 H 0.747 0.747 0.253
10 Pd 0.500 0.500 0.500



First-principles (PBE-GGA) data for In10NiS10 after structural relaxation, as listed in OQMD via LeMat-Bulk.

Computed properties:
VASP energy in eV per atom: -3.98
Symmetry: Pbam, No. 55

Unit cell a=11.426 b=12.089 c=7.432 alpha=90.00 beta=90.00 gamma=90.00
Atoms (fractional coordinates):
1 In 0.000 0.000 0.240
2 In 0.000 0.000 0.760
3 In 0.120 0.411 0.255
4 In 0.120 0.411 0.745
5 In 0.148 0.721 0.000
6 In 0.159 0.649 0.500
7 In 0.341 0.149 0.500
8 In 0.352 0.221 0.000
9 In 0.380 0.911 0.255
10 In 0.380 0.911 0.745
11 In 0.500 0.500 0.240
12 In 0.500 0.500 0.760
13 In 0.620 0.089 0.255
14 In 0.620 0.089 0.745
15 In 0.648 0.779 0.000
16 In 0.659 0.851 0.500
17 In 0.841 0.351 0.500
18 In 0.852 0.279 0.000
19 In 0.880 0.589 0.255
20 In 0.880 0.589 0.745
21 Ni 0.000 0.500 0.500
22 Ni 0.500 0.000 0.500
23 S 0.072 0.274 0.000
24 S 0.114 0.109 0.500
25 S 0.170 0.824 0.283
26 S 0.170 0.824 0.717
27 S 0.221 0.532 0.000
28 S 0.279 0.032 0.000
29 S 0.330 0.324 0.283
30 S 0.330 0.324 0.717
31 S 0.386 0.609 0.500
32 S 0.428 0.774 0.000
33 S 0.572 0.226 0.000
34 S 0.614 0.391 0.500
35 S 0.670 0.676 0.283
36 S 0.670 0.676 0.717
37 S 0.721 0.968 0.000
38 S 0.779 0.468 0.000
39 S 0.830 0.176 0.283
40 S 0.830 0.176 0.717
41 S 0.886 0.891 0.500
42 S 0.928 0.726 0.000



- Which value of VASP energy does entry 5 give?
  -3.36 eV per atom